## MnHg2P (meta-GGA SCAN)

Data for a PBEsol-optimized structure of MnHg2P.

a b c (Å): 4.0756 4.0756 8.6256
angles (deg): 90.00 90.00 90.00
Closest atoms and distances in Å follow each position.
Space group I-4m2 (No. 119)
Inequivalent atoms, fractional coordinates:
1 Mn 0.0000 0.0000 0.0000 [2 per cell]  8 Hg 2.88-2.97, 4 P 2.97
2 Hg 0.0000 0.0000 0.5000 [2 per cell]  4 Mn 2.88, 4 Hg 2.97, 4 P 2.97
3 Hg 0.0000 0.5000 0.7500 [2 per cell]  4 P 2.88, 4 Hg 2.97, 4 Mn 2.97
4 P 0.0000 0.5000 0.2500 [2 per cell]  8 Hg 2.88-2.97, 4 Mn 2.97

The density comes out at 11.29 Mg/m³. The formation energy comes out at 1.211 eV/f.u. For the density of states at the Fermi level, the calculation gives 1.91 states/eV/f.u. The total energy comes out at -327.549 eV for the cell shown.